Compound: CsAlI
Source: Alexandria
Functional: PBE
Structure: relaxed

Results
* ΔE_f (raw): -599 meV/atom

Unit cell a=8.3297 b=4.9288 c=13.1125 alpha=90.00 beta=96.15 gamma=90.00
With the nearest neighbours (Å) after each atom.
Space group Cm (No. 8)
Symmetry-distinct sites (fractional):
Cs (0.0000, 0.0000, 0.0000) (multiplicity 2)  3 I 3.84-3.86, 6 Al 3.86-3.95
Cs (0.0640, 0.0000, 0.3951) (multiplicity 2)  6 I 3.77-3.83
Al (0.1368, 0.5000, 0.7902) (multiplicity 2)  3 Al 2.81, 1 I 2.92
Al (0.2995, 0.0000, 0.7904) (multiplicity 2)  3 Al 2.81, 1 I 2.93
I (0.3700, 0.0000, 0.2022) (multiplicity 2)  6 Cs 3.77-3.86
I (0.4362, 0.0000, 0.5936) (multiplicity 2)  2 Al 2.92-2.93

=====

Compound: CaMgAl2Au5
Source: Alexandria
Functional: PBE
Structure: relaxed

Results
* formation energy from the elements: -0.411 eV per atom

Unit cell a=4.8204 b=4.8204 c=7.9192 alpha=90.00 beta=90.00 gamma=90.00
With the nearest neighbours (Å) after each atom.
Space group P4/mmm (No. 123)
Symmetry-distinct sites (fractional):
Ca (0.0000, 0.0000, 0.0000) (multiplicity 1)  12 Au 3.09-3.41
Mg (0.0000, 0.0000, 0.5000) (multiplicity 1)  8 Au 3.15
Al (0.5000, 0.5000, 0.3402) (multiplicity 2)  5 Au 2.53-2.69, 1 Al 2.53
Au (0.0000, 0.5000, 0.2444) (multiplicity 4)  2 Al 2.53
Au (0.5000, 0.5000, 0.0000) (multiplicity 1)  2 Al 2.69

=====

Compound: CaV3H
Source: Alexandria
Functional: PBE
Structure: relaxed

Results
* total energy: -5.887 eV/atom

Unit cell a=4.1241 b=4.1241 c=4.1241 alpha=90.00 beta=90.00 gamma=90.00
With the nearest neighbours (Å) after each atom.
Space group Pm-3m (No. 221)
Symmetry-distinct sites (fractional):
Ca (0.0000, 0.0000, 0.0000) (multiplicity 1)  12 V 2.92
V (0.0000, 0.5000, 0.5000) (multiplicity 3)  2 H 2.06
H (0.5000, 0.5000, 0.5000) (multiplicity 1)  6 V 2.06

=====

Number 1: volume 535.2 Å³ per cell. Number 2: volume 184.0 Å³ per cell. Number 3: volume 70.1 Å³ per cell.